# 1
This record from Alexandria via LeMat-Bulk describes a relaxed LaSmHgBr crystal. The functional is PBE.

Summary:
For the density, the calculation gives 8.38 Mg/m³. The value obtained for the uncorrected formation energy is -0.655 eV/atom. The total energy comes out at -14.2 eV per formula unit.

Lattice parameters (Å, degrees): 5.4260 5.4260 5.4260 60.00 60.00 60.00
Last column: nearest neighbours and their distance in Å.
Fractional positions:
La 0.5000 0.5000 0.5000  4 Br 3.32, 4 Hg 3.32
Sm 0.0000 0.0000 0.0000  4 Hg 3.32, 4 Br 3.32
Hg 0.7500 0.7500 0.7500  4 La 3.32, 4 Sm 3.32
Br 0.2500 0.2500 0.2500  4 Sm 3.32, 4 La 3.32

# 2
This record from Alexandria via LeMat-Bulk describes a relaxed MnCdInCl5 crystal. The functional is PBE.

Summary:
For the density, the calculation gives 3.24 Mg/m³. The value obtained for the uncorrected formation energy is -1.010 eV/atom. The total energy comes out at -30.1 eV per formula unit.

Lattice parameters (Å, degrees): 7.4866 7.4866 9.5576 103.55 103.55 106.84
Last column: nearest neighbours and their distance in Å.
Fractional positions:
Cl 0.3189 0.9094 0.6129  1 Mn 2.36
Mn 0.3154 0.6846 0.7500  4 Cl 2.36
Cl 0.6811 0.0906 0.3871  1 Mn 2.36
In 0.6612 0.3388 0.7500  5 Cl 3.10-3.33
Cl 0.0812 0.9188 0.2500  2 Cd 2.58
Cl 0.3803 0.2474 0.0653  1 Mn 2.36
Mn 0.6846 0.3154 0.2500  4 Cl 2.36
Cl 0.2474 0.3803 0.5653  1 Mn 2.36
Cd 0.0000 0.0000 0.5000  6 Cl 2.58-2.74
Cl 0.7526 0.6197 0.4347  1 Mn 2.36
Cl 0.9094 0.3189 0.1129  1 Mn 2.36
Cl 0.0906 0.6811 0.8871  1 Mn 2.36
In 0.3388 0.6612 0.2500  5 Cl 3.10-3.33
Cl 0.6197 0.7526 0.9347  1 Mn 2.36
Cd 0.0000 0.0000 0.0000  6 Cl 2.58-2.74
Cl 0.9188 0.0812 0.7500  2 Cd 2.58

# 3
This record from Alexandria via LeMat-Bulk describes a relaxed Tb2Ho2Hg7 crystal. The functional is PBE.

Summary:
For the density, the calculation gives 12.12 Mg/m³. The total energy comes out at -23.8 eV per formula unit.

Lattice parameters (Å, degrees): 7.3743 5.9549 7.3743 70.03 87.34 109.97
Last column: nearest neighbours and their distance in Å.
Fractional positions:
Hg 0.4121 0.1611 0.0736  5 Hg 2.99-3.31, 2 Ho 3.11-3.34, 2 Tb 3.16-3.27
Hg 0.0736 0.8389 0.4121  5 Hg 2.99-3.31, 2 Ho 3.11-3.34, 2 Tb 3.16-3.27
Hg 0.0000 0.0000 0.0000  6 Hg 2.99-3.14, 2 Tb 3.30
Tb 0.6471 0.8801 0.3529  8 Hg 3.04-3.30
Hg 0.5879 0.8389 0.9264  5 Hg 2.99-3.31, 2 Ho 3.11-3.34, 2 Tb 3.16-3.27
Hg 0.2814 0.5593 0.7186  3 Tb 3.04-3.24, 5 Hg 3.12-3.31, 2 Ho 3.23
Tb 0.3529 0.1199 0.6471  8 Hg 3.04-3.30
Ho 0.1648 0.5000 0.1648  8 Hg 3.11-3.46
Hg 0.7186 0.4407 0.2814  3 Tb 3.04-3.24, 5 Hg 3.12-3.31, 2 Ho 3.23
Ho 0.8352 0.5000 0.8352  8 Hg 3.11-3.46
Hg 0.9264 0.1611 0.5879  5 Hg 2.99-3.31, 2 Ho 3.11-3.34, 2 Tb 3.16-3.27

# 4
This record from Alexandria via LeMat-Bulk describes a relaxed RbUO3 crystal. The functional is PBE.

Summary:
For the density, the calculation gives 6.98 Mg/m³. The value obtained for the uncorrected formation energy is -2.842 eV/atom. The total energy comes out at -41.3 eV per formula unit.

Lattice parameters (Å, degrees): 4.3078 6.3286 7.2081 115.93 90.00 90.00
Last column: nearest neighbours and their distance in Å.
Fractional positions:
O 0.5000 0.2083 0.4994  2 U 2.18
U 0.5000 0.1338 0.7668  6 O 2.16-2.19
O 0.5000 0.5000 0.0000  2 U 2.19
O 0.0000 0.8600 0.2203  2 U 2.16
U 0.5000 0.8662 0.2332  6 O 2.16-2.19
O 0.5000 0.7917 0.5006  2 U 2.18
O 0.5000 0.0000 0.0000  2 U 2.19
Rb 0.0000 0.3699 0.2417  11 O 3.00-3.30, 1 Rb 3.35
Rb 0.0000 0.6301 0.7583  11 O 3.00-3.30, 1 Rb 3.35
O 0.0000 0.1400 0.7797  2 U 2.16

# 5
This record from Alexandria via LeMat-Bulk describes a relaxed HfZr3Pd6 crystal. The functional is PBE.

Summary:
For the density, the calculation gives 9.96 Mg/m³. The total energy comes out at -73.2 eV per formula unit.

Lattice parameters (Å, degrees): 4.6168 11.2321 8.2323 121.58 90.00 90.00
Last column: nearest neighbours and their distance in Å.
Fractional positions:
Pd 0.2500 0.0902 0.6068  7 Zr 2.79-3.05, 3 Pd 2.97-3.10
Pd 0.7500 0.3223 0.9471  5 Zr 2.68-2.91, 1 Hf 2.74, 2 Pd 2.96
Zr 0.7500 0.1964 0.5348  8 Pd 2.63-2.92
Hf 0.2500 0.6198 0.6852  8 Pd 2.74-2.85
Pd 0.2500 0.5123 0.2881  4 Zr 2.80-3.12, 3 Hf 2.81-2.83, 3 Pd 2.95-3.00
Zr 0.7500 0.0304 0.7955  9 Pd 2.74-3.05
Pd 0.7500 0.7952 0.9585  8 Pd 2.86-3.10, 3 Zr 3.02-3.19, 2 Hf 3.10
Pd 0.7500 0.0942 0.1658  4 Zr 2.63-2.80, 1 Hf 2.77, 1 Pd 2.86
Zr 0.2500 0.3889 0.8493  5 Pd 2.68-2.87
Pd 0.7500 0.6783 0.5360  3 Hf 2.85, 3 Zr 2.85-2.92, 4 Pd 3.00-3.15
Pd 0.2500 0.2048 0.0415  8 Pd 2.86-3.10, 3 Zr 3.02-3.19, 2 Hf 3.10
Zr 0.2500 0.9696 0.2045  9 Pd 2.74-3.05
Zr 0.7500 0.6111 0.1507  5 Pd 2.68-2.87
Pd 0.2500 0.3217 0.4640  3 Hf 2.85, 3 Zr 2.85-2.92, 4 Pd 3.00-3.15
Hf 0.7500 0.3802 0.3148  8 Pd 2.74-2.85
Pd 0.2500 0.6777 0.0529  5 Zr 2.68-2.91, 1 Hf 2.74, 2 Pd 2.96
Pd 0.7500 0.9098 0.3932  7 Zr 2.79-3.05, 3 Pd 2.97-3.10
Zr 0.2500 0.8036 0.4652  8 Pd 2.63-2.92
Pd 0.7500 0.4877 0.7119  4 Zr 2.80-3.12, 3 Hf 2.81-2.83, 3 Pd 2.95-3.00
Pd 0.2500 0.9058 0.8342  4 Zr 2.63-2.80, 1 Hf 2.77, 1 Pd 2.86

# 6
This record from Alexandria via LeMat-Bulk describes a relaxed NpSnPtO6 crystal. The functional is PBE.

Summary:
For the density, the calculation gives 9.12 Mg/m³. The value obtained for the uncorrected formation energy is -1.529 eV/atom. The total energy comes out at -66.5 eV per formula unit.

Lattice parameters (Å, degrees): 5.4820 5.4820 9.0468 90.00 90.00 120.00
Last column: nearest neighbours and their distance in Å.
Fractional positions:
O 0.3372 0.0014 0.6270  1 Sn 2.13, 1 Np 2.14, 1 Pt 2.17
O 0.6642 0.6628 0.6270  1 Sn 2.13, 1 Np 2.14, 1 Pt 2.17
O 0.3358 0.9986 0.1270  1 Sn 2.13, 1 Np 2.14, 1 Pt 2.17
O 0.9986 0.3358 0.6270  1 Sn 2.13, 1 Np 2.14, 1 Pt 2.17
O 0.0014 0.3372 0.1270  1 Sn 2.13, 1 Np 2.14, 1 Pt 2.17
Sn 0.6667 0.3333 0.7500  6 O 2.13
Pt 0.0000 0.0000 0.5000  6 O 2.17
O 0.0014 0.6642 0.3730  1 Sn 2.13, 1 Np 2.14, 1 Pt 2.17
O 0.3358 0.3372 0.3730  1 Sn 2.13, 1 Np 2.14, 1 Pt 2.17
Pt 0.0000 0.0000 0.0000  6 O 2.17
Np 0.3333 0.6667 0.7500  6 O 2.14
O 0.6642 0.0014 0.8730  1 Sn 2.13, 1 Np 2.14, 1 Pt 2.17
O 0.3372 0.3358 0.8730  1 Sn 2.13, 1 Np 2.14, 1 Pt 2.17
Sn 0.3333 0.6667 0.2500  6 O 2.13
O 0.9986 0.6628 0.8730  1 Sn 2.13, 1 Np 2.14, 1 Pt 2.17
Np 0.6667 0.3333 0.2500  6 O 2.14
O 0.6628 0.9986 0.3730  1 Sn 2.13, 1 Np 2.14, 1 Pt 2.17
O 0.6628 0.6642 0.1270  1 Sn 2.13, 1 Np 2.14, 1 Pt 2.17

# 7
This record from Alexandria via LeMat-Bulk describes a relaxed ScTaMn4 crystal. The functional is PBE.

Summary:
For the density, the calculation gives 9.10 Mg/m³. The total energy comes out at -55.9 eV per formula unit.

Lattice parameters (Å, degrees): 4.8629 4.8629 4.8629 60.00 60.00 60.00
Last column: nearest neighbours and their distance in Å.
Fractional positions:
Mn 0.6251 0.6251 0.1246  6 Mn 2.43
Mn 0.6251 0.6251 0.6251  6 Mn 2.43
Ta 0.0000 0.0000 0.0000  12 Mn 2.85, 4 Sc 2.98
Mn 0.6251 0.1246 0.6251  6 Mn 2.43
Mn 0.1246 0.6251 0.6251  6 Mn 2.43
Sc 0.2500 0.2500 0.2500  12 Mn 2.85, 4 Ta 2.98

# 8
This record from Alexandria via LeMat-Bulk describes a relaxed Tb2Pr5Er5 crystal. The functional is PBE.

Summary:
For the density, the calculation gives 7.79 Mg/m³. The total energy comes out at -55.7 eV per formula unit.

Lattice parameters (Å, degrees): 5.0793 10.8085 8.0655 98.56 71.65 76.41
Last column: nearest neighbours and their distance in Å.
Fractional positions:
Pr 0.0012 0.7499 0.2477  6 Er 3.59-3.62, 3 Tb 3.59-3.60, 3 Pr 3.59-3.63
Pr 0.0000 0.0000 0.0000  4 Pr 3.59-3.60, 8 Er 3.61
Tb 0.3325 0.5011 0.8339  5 Er 3.57-3.60, 5 Pr 3.57-3.63, 2 Tb 3.60
Er 0.6679 0.7478 0.9163  3 Tb 3.57-3.59, 6 Pr 3.59-3.61, 3 Er 3.60-3.63
Er 0.3321 0.2522 0.0837  3 Tb 3.57-3.59, 6 Pr 3.59-3.61, 3 Er 3.60-3.63
Er 0.0000 0.5000 0.5000  6 Pr 3.59-3.62, 2 Er 3.60, 4 Tb 3.60
Tb 0.6675 0.4989 0.1661  5 Er 3.57-3.60, 5 Pr 3.57-3.63, 2 Tb 3.60
Er 0.3329 0.9999 0.3342  4 Er 3.59-3.63, 8 Pr 3.60-3.62
Pr 0.9988 0.2501 0.7523  6 Er 3.59-3.62, 3 Tb 3.59-3.60, 3 Pr 3.59-3.63
Pr 0.3325 0.7490 0.5859  2 Tb 3.57-3.63, 7 Er 3.59-3.62, 3 Pr 3.60-3.63
Pr 0.6675 0.2510 0.4141  2 Tb 3.57-3.63, 7 Er 3.59-3.62, 3 Pr 3.60-3.63
Er 0.6671 0.0001 0.6658  4 Er 3.59-3.63, 8 Pr 3.60-3.62